Ac3PrRh: relaxed, PBE. Values from VASP.

Computed properties:
VASP energy in Ry per atom: -0.3814
Space-group type: No. 12
Energy of formation from the pure elements in eV per atom: -0.30

Structure (Quantum ESPRESSO input):
```
&SYSTEM
  ibrav = 0, nat = 10, ntyp = 3
/
ATOMIC_SPECIES
Ac 227.00 Ac.upf
Pr 140.91 Pr.upf
Rh 102.91 Rh.upf
CELL_PARAMETERS angstrom
7.3287 0.0274 -2.9990
-3.5968 6.5342 -2.6592
0.1822 -0.0453 7.9320
ATOMIC_POSITIONS angstrom
Ac 6.0175 0.2919 -0.3576
Ac 0.2070 2.9340 0.3395
Ac 3.7070 3.5823 1.9343
Ac 3.6047 2.9701 -2.0426
Ac -2.1034 6.2244 2.6314
Ac 0.3094 3.5462 4.3164
Pr 5.1185 0.2765 3.6966
Pr -1.2044 6.2397 -1.4228
Rh 1.8268 4.9122 -0.9631
Rh 2.0873 1.6041 3.2369
```

=====

Ti3CF: relaxed, PBE. Values from VASP.

Computed properties:
VASP energy in Ry per atom: -0.5299
Formation energy from raw total energies in eV per atom: -0.25
Space-group type: No. 221

Structure (Quantum ESPRESSO input):
```
&SYSTEM
  ibrav = 0, nat = 5, ntyp = 3
/
ATOMIC_SPECIES
C 12.01 C.upf
F 19.00 F.upf
Ti 47.87 Ti.upf
CELL_PARAMETERS angstrom
-2.1571 -3.6092 -0.0759
-0.0025 -0.0870 4.2045
-3.6100 2.1567 0.0425
ATOMIC_POSITIONS angstrom
C 0.0000 0.0000 0.0000
F -2.8848 -0.7698 2.0855
Ti -0.0012 -0.0435 2.1023
Ti -1.8050 1.0783 0.0212
Ti -1.0786 -1.8046 -0.0380
```